[1]
First-principles (GGA-PBE) data for crystalline Ba2ErAu2O6 at its relaxed geometry, as listed in the Alexandria database.

Cell and atoms, written as extended XYZ:
```
11
Lattice="5.7825 0.0000 0.0000 -2.8913 5.6902 -0.1879 0.0000 -3.4702 6.0958" Properties=species:S:1:pos:R:3 pbc="T T T"
Ba 2.8913 1.8324 0.9239
Ba 0.0000 0.3876 4.9840
Er 2.8913 -1.7351 3.0479
Au 2.8913 2.3221 4.1919
Au 0.0000 -0.1021 1.7161
O 2.8913 0.4581 3.5175
O -1.4961 4.1031 1.1440
O 1.3952 -1.8831 4.7640
O 4.3873 -1.8831 4.7640
O 1.4960 4.1031 1.1440
O 0.0000 1.7620 2.3904
```

Calculated values
As for the raw formation energy: -18.594 eV/f.u. The value obtained for the total DFT energy (no corrections) is -5.7551 eV per atom.

[2]
First-principles (GGA-PBE) data for crystalline Ba2ErSn3Au4 at its relaxed geometry, as listed in the Alexandria database.

Cell and atoms, written as extended XYZ:
```
10
Lattice="-0.4771 -4.5240 -1.5873 3.8059 0.6127 -2.8903 7.1591 -3.7815 8.6255" Properties=species:S:1:pos:R:3 pbc="T T T"
Ba 1.4129 -3.1343 1.1960
Ba 7.4107 -2.6029 5.1907
Er 5.2439 -3.8464 2.0740
Sn 3.5796 -1.8908 4.3128
Sn 6.0307 -5.5735 6.7597
Sn 2.7928 -0.1637 -0.3730
Au 1.6644 -1.9556 -2.2388
Au 0.0000 0.0000 0.0000
Au 4.3473 -4.6843 4.7315
Au 4.4763 -1.0529 1.6553
```

Calculated values
The formation energy comes out at -0.65 eV/atom. The value obtained for the total DFT energy (no corrections) is -4.0056 eV per atom.

[3]
First-principles (GGA-PBE) data for crystalline Ba2EuAu at its relaxed geometry, as listed in the Alexandria database.

Cell and atoms, written as extended XYZ:
```
4
Lattice="4.0814 0.0000 0.0000 0.0000 4.0814 0.0000 0.0000 0.0000 10.4397" Properties=species:S:1:pos:R:3 pbc="T T T"
Eu 2.0407 2.0407 5.2198
Au 2.0407 2.0407 0.0000
Ba 0.0000 0.0000 8.5283
Ba 0.0000 0.0000 1.9114
```

Calculated values
The formation energy comes out at -0.33 eV/atom. The value obtained for the total DFT energy (no corrections) is -4.6815 eV per atom.

[4]
First-principles (GGA-PBE) data for crystalline BaEuAu at its relaxed geometry, as listed in the Alexandria database.

Cell and atoms, written as extended XYZ:
```
3
Lattice="-4.1972 5.5230 1.7005 -3.3727 -1.7617 -2.6029 0.3065 -1.1392 4.4567" Properties=species:S:1:pos:R:3 pbc="T T T"
Eu -1.8975 -0.0603 2.4996
Au -0.0730 0.0961 0.0296
Ba -5.2929 2.5863 1.0251
```

Calculated values
The formation energy comes out at -0.48 eV/atom. The value obtained for the total DFT energy (no corrections) is -5.6366 eV per atom.

[5]
First-principles (GGA-PBE) data for crystalline Ba2EuAu at its relaxed geometry, as listed in the Alexandria database.

Cell and atoms, written as extended XYZ:
```
4
Lattice="4.4762 0.0000 0.0000 2.2381 3.8765 0.0000 2.2381 1.2922 12.0728" Properties=species:S:1:pos:R:3 pbc="T T T"
Eu 0.0000 0.0000 0.0000
Au 4.4762 2.5844 6.0364
Ba 2.2381 1.2922 7.9899
Ba 6.7144 3.8765 4.0830
```

Calculated values
The formation energy comes out at -0.19 eV/atom. The value obtained for the total DFT energy (no corrections) is -4.5365 eV per atom.

[6]
First-principles (GGA-PBE) data for crystalline BaEuAu at its relaxed geometry, as listed in the Alexandria database.

Cell and atoms, written as extended XYZ:
```
3
Lattice="-1.0407 -5.3857 0.0041 4.1387 -3.5930 0.2226 0.8291 -2.9501 4.5495" Properties=species:S:1:pos:R:3 pbc="T T T"
Eu 1.9636 -5.9644 2.3881
Au 0.9818 -2.9822 1.1941
Ba 0.0000 0.0000 0.0000
```

Calculated values
The formation energy comes out at -0.45 eV/atom. The value obtained for the total DFT energy (no corrections) is -5.6125 eV per atom.

[7]
First-principles (GGA-PBE) data for crystalline BaEuAu at its relaxed geometry, as listed in the Alexandria database.

Cell and atoms, written as extended XYZ:
```
3
Lattice="-3.1751 -2.1371 -0.9624 -0.5257 -0.9300 3.7992 -2.2398 7.2365 -0.5883" Properties=species:S:1:pos:R:3 pbc="T T T"
Eu -2.3800 3.3184 0.4830
Au -3.3038 0.4930 1.7133
Ba -0.2568 0.3580 0.0521
```

Calculated values
The formation energy comes out at -0.50 eV/atom. The value obtained for the total DFT energy (no corrections) is -5.6618 eV per atom.

[8]
First-principles (GGA-PBE) data for crystalline BaEuGeAu at its relaxed geometry, as listed in the Alexandria database.

Cell and atoms, written as extended XYZ:
```
4
Lattice="5.5180 0.0000 0.0000 2.7590 4.7787 0.0000 2.7590 1.5929 4.5054" Properties=species:S:1:pos:R:3 pbc="T T T"
Eu 5.5180 3.1858 2.2527
Ge 2.7590 1.5929 1.1264
Au 8.2770 4.7787 3.3791
Ba 0.0000 0.0000 0.0000
```

Calculated values
The formation energy comes out at -0.56 eV/atom. The value obtained for the total DFT energy (no corrections) is -5.5872 eV per atom.

Number 1: calculated density 7.862 g cm⁻³. Number 2: calculated density 9.589 g cm⁻³. Number 3: calculated density 5.954 g cm⁻³. Number 4: calculated density 6.142 g cm⁻³. Number 5: calculated density 4.943 g cm⁻³. Number 6: calculated density 6.919 g cm⁻³. Number 7: calculated density 7.336 g cm⁻³. Number 8: calculated density 7.812 g cm⁻³.